[1]
The following is a GGA-PBE calculation of InReP2 after structural relaxation, from Alexandria.

The volume comes out at 16.3 Å³ per atom. The total magnetic moment is 0.00 μB/cell. Its mass density is 9.23 g/cm3. The calculation puts the formation enthalpy at 0 K at 935 meV/atom.

Cell: 6.393 6.393 6.393 Å, 90.00 90.00 90.00°
Space group F-43m (No. 216)
Symmetry-distinct sites (fractional):
1 In 0.000 0.000 0.000 (multiplicity 4)
2 Re 0.250 0.250 0.750 (multiplicity 4)
3 P 0.000 0.000 0.500 (multiplicity 4)
4 P 0.250 0.250 0.250 (multiplicity 4)

[2]
The following is a GGA-PBE calculation of InRe3P after structural relaxation, from Alexandria.

The volume comes out at 22.9 Å³ per atom. The total magnetic moment is 3.17 μB/cell. Its mass density is 10.23 g/cm3. The calculation puts the formation enthalpy at 0 K at 3331 meV/atom.

Cell: 4.853 4.853 4.853 Å, 90.00 90.00 90.00°
Space group Pm-3m (No. 221)
Symmetry-distinct sites (fractional):
1 In 0.000 0.000 0.000 (multiplicity 1)
2 Re 0.000 0.000 0.500 (multiplicity 3)
3 P 0.500 0.500 0.500 (multiplicity 1)

[3]
The following is a GGA-PBE calculation of InRe2P after structural relaxation, from Alexandria.

The volume comes out at 16.0 Å³ per atom. The total magnetic moment is 0.00 μB/cell. Its mass density is 13.43 g/cm3. The calculation puts the formation enthalpy at 0 K at 715 meV/atom.

Cell: 4.109 4.109 7.590 Å, 90.00 90.00 90.00°
Space group I-4m2 (No. 119)
Symmetry-distinct sites (fractional):
1 In 0.000 0.000 0.000 (multiplicity 2)
2 Re 0.000 0.000 0.500 (multiplicity 2)
3 Re 0.000 0.500 0.250 (multiplicity 2)
4 P 0.000 0.500 0.750 (multiplicity 2)

[4]
The following is a GGA-PBE calculation of InReP2 after structural relaxation, from Alexandria.

The volume comes out at 18.3 Å³ per atom. The total magnetic moment is 0.00 μB/cell. Its mass density is 8.24 g/cm3. The calculation puts the formation enthalpy at 0 K at 364 meV/atom.

Cell: 3.049 5.048 9.504 Å, 90.00 90.00 90.00°
Space group Cmmm (No. 65)
Symmetry-distinct sites (fractional):
1 In 0.000 0.000 0.000 (multiplicity 2)
2 Re 0.000 0.000 0.500 (multiplicity 2)
3 P 0.000 0.500 0.302 (multiplicity 4)

[5]
The following is a GGA-PBE calculation of In2ReP after structural relaxation, from Alexandria.

The volume comes out at 18.3 Å³ per atom. The total magnetic moment is 0.00 μB/cell. Its mass density is 10.12 g/cm3. The calculation puts the formation enthalpy at 0 K at 751 meV/atom.

Cell: 4.213 4.213 8.262 Å, 90.00 90.00 90.00°
Space group I-4m2 (No. 119)
Symmetry-distinct sites (fractional):
1 In 0.000 0.000 0.000 (multiplicity 2)
2 In 0.000 0.500 0.250 (multiplicity 2)
3 Re 0.000 0.000 0.500 (multiplicity 2)
4 P 0.000 0.500 0.750 (multiplicity 2)

[6]
The following is a GGA-PBE calculation of InReP2 after structural relaxation, from Alexandria.

The volume comes out at 16.3 Å³ per atom. The total magnetic moment is 0.00 μB/cell. Its mass density is 9.23 g/cm3. The calculation puts the formation enthalpy at 0 K at 812 meV/atom.

Cell: 3.276 4.224 4.721 Å, 90.00 90.00 90.00°
Space group Pmmm (No. 47)
Symmetry-distinct sites (fractional):
1 In 0.000 0.000 0.000 (multiplicity 1)
2 Re 0.500 0.000 0.500 (multiplicity 1)
3 P 0.000 0.500 0.500 (multiplicity 1)
4 P 0.500 0.500 0.000 (multiplicity 1)

[7]
The following is a GGA-PBE calculation of InRe2P after structural relaxation, from Alexandria.

The volume comes out at 18.7 Å³ per atom. The total magnetic moment is 0.00 μB/cell. Its mass density is 11.51 g/cm3. The calculation puts the formation enthalpy at 0 K at 619 meV/atom.

Cell: 4.141 4.141 17.433 Å, 90.00 90.00 90.00°
Space group I-42d (No. 122)
Symmetry-distinct sites (fractional):
1 In 0.000 0.000 0.000 (multiplicity 4)
2 Re 0.158 0.250 0.625 (multiplicity 8)
3 P 0.000 0.000 0.500 (multiplicity 4)

[8]
The following is a GGA-PBE calculation of InRe2P after structural relaxation, from Alexandria.

The volume comes out at 16.7 Å³ per atom. The total magnetic moment is 0.00 μB/cell. Its mass density is 12.91 g/cm3. The calculation puts the formation enthalpy at 0 K at 324 meV/atom.

Cell: 4.426 2.961 10.177 Å, 90.00 90.00 90.00°
Space group Amm2 (No. 38)
Symmetry-distinct sites (fractional):
1 In 0.000 0.000 0.000 (multiplicity 2)
2 Re 0.000 0.000 0.738 (multiplicity 2)
3 Re 0.500 0.000 0.333 (multiplicity 2)
4 P 0.500 0.000 0.646 (multiplicity 2)